Density functional theory data (GGA-PBE) for a relaxed structure of Pr6Hg2C.

Cell and atoms, written as POSCAR:
```
Pr6Hg2C
1.0
-3.5457 -5.6742 2.0437
6.2265 -2.8169 2.9817
-2.2148 4.7299 9.0936
Pr Hg C
12 4 2
direct
0.9059 0.9804 0.2610
0.8058 0.7129 0.5392
0.7941 0.6973 0.9567
0.7059 0.1973 0.5433
0.6942 0.2129 0.9608
0.5941 0.4804 0.2390
0.0941 0.0196 0.7390
0.1942 0.2871 0.4608
0.2059 0.3027 0.0433
0.2941 0.8027 0.4567
0.3058 0.7871 0.0392
0.4059 0.5196 0.7610
0.9608 0.4375 0.7484
0.5392 0.9375 0.7516
0.4608 0.0625 0.2484
0.0392 0.5625 0.2516
0.5000 0.5000 0.0000
0.0000 0.0000 0.5000
```

## Properties
* space group: No. 14
* DFT formation energy: -0.2306 eV per atom
* M_tot: 0.00 μB/atom
* Fermi-level density of states: 15.963 states/eV/cell



Density functional theory data (GGA-PBE) for a relaxed structure of Pr4Hg2C.

Cell and atoms, written as POSCAR:
```
Pr4Hg2C
1.0
5.1965 0.0000 0.0000
0.0000 5.1965 0.0000
-2.5983 -2.5983 7.6547
Pr C Hg
4 1 2
direct
0.8322 0.8322 0.6645
0.1678 0.1678 0.3355
0.0000 0.5000 0.0000
0.5000 0.0000 0.0000
0.0000 0.0000 0.0000
0.6286 0.6286 0.2573
0.3714 0.3714 0.7427
```

## Properties
* space group: No. 139
* DFT formation energy: -0.2403 eV per atom
* M_tot: 0.00 μB/atom
* Fermi-level density of states: 7.178 states/eV/cell



Density functional theory data (GGA-PBE) for a relaxed structure of Pr4Hg2C.

Cell and atoms, written as POSCAR:
```
Pr4Hg2C
1.0
-1.5614 2.7150 2.1535
-5.1900 -5.4589 3.1191
8.7096 -2.7160 9.7389
Pr Hg C
8 4 2
direct
0.0000 0.6135 0.8189
0.0000 0.3865 0.1811
0.0000 0.1135 0.6811
0.0000 0.8865 0.3189
0.5000 0.7914 0.5459
0.5000 0.2086 0.4541
0.5000 0.7086 0.0459
0.5000 0.2914 0.9541
0.5000 0.9287 0.8381
0.5000 0.0713 0.1619
0.5000 0.4287 0.6619
0.5000 0.5713 0.3381
0.0000 0.0000 0.5000
0.0000 0.5000 0.0000
```

## Properties
* space group: No. 55
* DFT formation energy: -0.2080 eV per atom
* M_tot: 0.00 μB/atom
* Fermi-level density of states: 18.315 states/eV/cell



Density functional theory data (GGA-PBE) for a relaxed structure of Pr2HgC.

Cell and atoms, written as POSCAR:
```
Pr2HgC
1.0
3.7436 0.0012 0.0036
1.8729 3.2414 0.0036
1.8799 1.0854 8.2997
Pr Hg C
2 1 1
direct
0.0585 0.0585 0.8255
0.2746 0.2746 0.1749
0.5008 0.5008 0.4982
0.6661 0.6661 0.0014
```

## Properties
* space group: No. 8
* DFT formation energy: -0.2125 eV per atom
* M_tot: 0.00 μB/atom
* Fermi-level density of states: 3.198 states/eV/cell



Copy entry 3 word for word.
Density functional theory data (GGA-PBE) for a relaxed structure of Pr4Hg2C.

Cell and atoms, written as POSCAR:
```
Pr4Hg2C
1.0
-1.5614 2.7150 2.1535
-5.1900 -5.4589 3.1191
8.7096 -2.7160 9.7389
Pr Hg C
8 4 2
direct
0.0000 0.6135 0.8189
0.0000 0.3865 0.1811
0.0000 0.1135 0.6811
0.0000 0.8865 0.3189
0.5000 0.7914 0.5459
0.5000 0.2086 0.4541
0.5000 0.7086 0.0459
0.5000 0.2914 0.9541
0.5000 0.9287 0.8381
0.5000 0.0713 0.1619
0.5000 0.4287 0.6619
0.5000 0.5713 0.3381
0.0000 0.0000 0.5000
0.0000 0.5000 0.0000
```

## Properties
* space group: No. 55
* DFT formation energy: -0.2080 eV per atom
* M_tot: 0.00 μB/atom
* Fermi-level density of states: 18.315 states/eV/cell